(1)
Compound: TaNb2Ru
Source: the Alexandria database
Functional: GGA-PBE
Structure: relaxed

Cell lengths 2.9046, 5.4987, 9.0711 Å; angles 90.00, 90.00, 109.78 degrees
Closest atoms and distances in Å follow each position.
Sites, in units of the cell vectors:
Nb 0.5065 0.2520 0.9999  4 Nb 2.74-2.90, 2 Ru 2.78, 2 Ta 2.80
Nb 0.4935 0.7480 0.5000  4 Nb 2.74-2.90, 2 Ru 2.78, 2 Ta 2.80
Nb 0.5065 0.2520 0.5000  4 Nb 2.74-2.90, 2 Ru 2.78, 2 Ta 2.80
Nb 0.4935 0.7480 0.0001  4 Nb 2.74-2.90, 2 Ru 2.78, 2 Ta 2.80
Ta 0.0000 0.9999 0.7500  2 Ru 2.75, 4 Nb 2.80, 2 Ta 2.90
Ta 0.0000 0.0001 0.2500  2 Ru 2.75, 4 Nb 2.80, 2 Ta 2.90
Ru 0.9999 0.5001 0.2500  2 Ta 2.75, 4 Nb 2.78, 2 Ru 2.90
Ru 0.0001 0.4999 0.7500  2 Ta 2.75, 4 Nb 2.78, 2 Ru 2.90

Computed properties:
- Symmetry: No. 10
- Energy of formation from the pure elements: -0.7 eV per formula unit
- Energy above the lowest structure with this stoichiometry: 42 meV per atom

=====

(2)
Compound: Sc2GePd6
Source: the Alexandria database
Functional: GGA-PBE
Structure: relaxed

Cell lengths 3.1216, 7.1072, 8.4238 Å; angles 114.95, 111.67, 90.00 degrees
Closest atoms and distances in Å follow each position.
Sites, in units of the cell vectors:
Pd 0.5000 0.7009 0.0000  2 Ge 2.64, 5 Pd 2.80-2.86
Pd 0.5000 0.2991 0.0000  2 Ge 2.64, 5 Pd 2.80-2.86
Pd 0.6814 0.6487 0.6831  1 Ge 2.60, 4 Pd 2.68-2.81, 2 Sc 2.71
Pd 0.3186 0.9656 0.3169  1 Ge 2.60, 4 Pd 2.68-2.81, 2 Sc 2.71
Pd 0.6814 0.0344 0.6831  1 Ge 2.60, 4 Pd 2.68-2.81, 2 Sc 2.71
Pd 0.3186 0.3513 0.3169  1 Ge 2.60, 4 Pd 2.68-2.81, 2 Sc 2.71
Ge 0.0000 0.0000 0.0000  8 Pd 2.60-2.64
Sc 0.1236 0.3130 0.6260  10 Pd 2.71-3.00
Sc 0.8764 0.6870 0.3740  10 Pd 2.71-3.00

Computed properties:
- Symmetry: No. 12
- Energy of formation from the pure elements: -5.4 eV per formula unit

=====

(3)
Compound: BaSrIn2W
Source: the Alexandria database
Functional: GGA-PBE
Structure: relaxed

Cell lengths 5.8878, 6.2473, 5.8878 Å; angles 90.00, 90.00, 90.00 degrees
Closest atoms and distances in Å follow each position.
Sites, in units of the cell vectors:
In 0.0000 0.0000 0.5000  2 Ba 2.94
In 0.5000 0.0000 0.0000  2 Ba 2.94
W 0.5000 0.5000 0.5000  4 Sr 4.16, 8 In 4.29
Ba 0.0000 0.0000 0.0000  4 In 2.94, 2 Sr 3.12
Sr 0.0000 0.5000 0.0000  2 Ba 3.12

Computed properties:
- Symmetry: No. 123
- Energy of formation from the pure elements: 11.3 eV per formula unit

=====

(4)
Compound: BaU2MnS7
Source: the Alexandria database
Functional: GGA-PBE
Structure: relaxed

Cell lengths 5.2166, 5.2166, 11.0520 Å; angles 103.65, 103.65, 90.00 degrees
Closest atoms and distances in Å follow each position.
Sites, in units of the cell vectors:
S 0.7544 0.7544 0.5089  1 U 2.49, 2 Mn 2.61
S 0.6056 0.1056 0.2112  2 U 2.64
S 0.0000 0.0000 0.0000  2 U 2.63
S 0.8944 0.3944 0.7889  2 U 2.64
S 0.2456 0.2456 0.4911  1 U 2.49, 2 Mn 2.61
S 0.1271 0.6271 0.2542  1 Mn 2.56, 2 U 2.61
S 0.3729 0.8729 0.7458  1 Mn 2.56, 2 U 2.61
U 0.1262 0.1262 0.2524  6 S 2.49-2.64
U 0.8738 0.8738 0.7476  6 S 2.49-2.64
Ba 0.5000 0.5000 0.0000  12 S 3.41-3.72
Mn 0.2500 0.7500 0.5000  6 S 2.56-2.61

Computed properties:
- Calculated total energy: -76.13 eV per cell
- Symmetry: No. 119

=====

(5)
Compound: RbSmSeCl
Source: the Alexandria database
Functional: GGA-PBE
Structure: relaxed

Cell lengths 4.1664, 4.1663, 8.5293 Å; angles 90.01, 104.14, 119.99 degrees
Closest atoms and distances in Å follow each position.
Sites, in units of the cell vectors:
Sm 0.1274 0.9617 0.1043  3 Se 2.89, 3 Cl 3.00
Rb 0.4803 0.1380 0.6337  3 Se 3.29, 3 Cl 3.49-3.50
Cl 0.9405 0.3683 0.3239  3 Sm 3.00
Se 0.3297 0.5628 0.9077  3 Sm 2.89

Computed properties:
- Calculated total energy: -17.37 eV per cell
- Symmetry: No. 160

=====

(6)
Compound: PdPb4O6
Source: the Alexandria database
Functional: GGA-PBE
Structure: relaxed

Cell lengths 5.8592, 7.6479, 10.9960 Å; angles 88.33, 74.55, 67.48 degrees
Closest atoms and distances in Å follow each position.
Sites, in units of the cell vectors:
O 0.6796 0.5001 0.8219  1 Pd 2.01, 1 Pb 2.25
O 0.6732 0.8681 0.2561  1 Pd 1.99, 1 Pb 2.21
O 0.3408 0.3149 0.2689  3 Pb 2.20-2.32
O 0.2026 0.3681 0.7561  1 Pd 1.99, 1 Pb 2.21
O 0.2368 0.1423 0.9698  1 Pd 2.06
O 0.8435 0.3686 0.2378  4 Pb 2.26-2.41
O 0.0879 0.7130 0.5095  1 Pd 2.06, 1 Pb 2.18
O 0.6511 0.6423 0.4698  1 Pd 2.06
O 0.0754 0.8149 0.7689  3 Pb 2.20-2.32
O 0.9984 0.0001 0.3219  1 Pd 2.01, 1 Pb 2.25
O 0.5502 0.8686 0.7378  4 Pb 2.26-2.41
O 0.6896 0.2130 0.0095  1 Pd 2.06, 1 Pb 2.18
Pb 0.3048 0.7879 0.9108  3 O 2.27-2.43
Pb 0.7463 0.1239 0.1929  5 O 2.18-2.26
Pb 0.1930 0.4078 0.0917  3 O 2.32-2.36
Pb 0.9370 0.6239 0.6929  5 O 2.18-2.26
Pb 0.5886 0.1517 0.8025  4 O 2.39-2.60
Pb 0.4572 0.6517 0.3026  4 O 2.39-2.60
Pb 0.3074 0.9078 0.5917  3 O 2.32-2.36
Pb 0.9966 0.2879 0.4108  3 O 2.27-2.43
Pd 0.9481 0.3080 0.8923  4 O 1.99-2.06
Pd 0.8516 0.8080 0.3923  4 O 1.99-2.06

Computed properties:
- Calculated total energy: -118.76 eV per cell
- Symmetry: No. 9